Entry 1:
DFT (GGA-PBE) results for an optimized crystal structure of TbMn2Si2C.

```
TbMn2Si2C
1.0
3.889 0.000 0.000
0.000 3.889 0.000
0.000 0.000 5.218
Tb Mn Si C
1 2 2 1
Direct
0.000 0.000 0.000
0.000 0.500 0.500
0.500 0.000 0.500
0.500 0.500 0.230
0.500 0.500 0.770
0.000 0.000 0.500
```

Calculated values
Formation energy (no corrections) (eV/atom): -0.50



Entry 2:
DFT (GGA-PBE) results for an optimized crystal structure of Mn2SiTcC.

```
Mn2SiTcC
1.0
3.769 0.000 0.000
0.000 3.769 0.000
0.000 0.000 4.062
Mn Si Tc C
2 1 1 1
Direct
0.000 0.500 0.000
0.500 0.000 0.000
0.000 0.000 0.500
0.500 0.500 0.500
0.500 0.500 0.000
```

Calculated values
Formation energy (no corrections) (eV/atom): -0.08